CaCeSm2Se4 | Alexandria via LeMat-Bulk | PBE | relaxed; magnetization = 1.0 μB/f.u.; space-group type = P2/m, No. 10; energy relative to the elements, uncorrected = -179 kJ/mol of atoms
1.0
7.242 0.000 0.000
0.000 4.169 0.000
-2.398 0.000 6.878
Ca Ce Sm Se
1 1 2 4
Cartesian
0.000 0.000 0.000
-1.199 2.084 3.439
2.422 0.000 3.439
3.621 2.084 0.000
1.207 2.084 1.696
0.004 0.000 5.185
4.840 0.000 1.693
3.637 2.084 5.182